No. 1
A plane-wave DFT calculation with GGA-PBE was carried out for a relaxed structure of Rb6Bi2Pd.

The value obtained for the formation energy is -0.2616 eV per atom.

It has space group R-3m (No. 166, hexagonal axes), with a = 6.4097 Å, b = 6.4097 Å, c = 34.4031 Å, α = 90.00°, β = 90.00° and γ = 120.00°. The asymmetric unit holds Rb at (0.0000, 0.0000, 0.0800), Rb at (0.0000, 0.0000, 0.1942), Rb at (0.0000, 0.0000, 0.3080), Bi at (0.0000, 0.0000, 0.4190) and Pd at (0.0000, 0.0000, 0.5000).

No. 2
A plane-wave DFT calculation with GGA-PBE was carried out for a relaxed structure of NdErN.

The calculation puts the energy above the most stable polymorph in this dataset at 1144.8 meV/atom. As for the formation energy (no corrections): 186 meV per atom.

It has space group I4mm (No. 107), with a = 4.705 Å, b = 4.705 Å, c = 7.783 Å, α = 90.00°, β = 90.00° and γ = 90.00°. The asymmetric unit holds Nd at (0.000, 0.000, 0.000), Er at (0.000, 0.000, 0.536) and N at (0.000, 0.000, 0.276).

Size of the total moment (μB/f.u.)
0.00 0.00